(1)
# Al3Hg5 PBE optimized geometry
# energy above the lowest structure with this stoichiometry: 0.0 kJ/mol of atoms
# VASP energy: -1.4228 eV per atom
# ΔE_f: 169 meV/atom
data_Al3Hg5
_chemical_formula_sum 'Al6 Hg10'
_cell_length_a 8.271
_cell_length_b 8.271
_cell_length_c 6.122
_cell_angle_alpha 90.00
_cell_angle_beta 90.00
_cell_angle_gamma 120.00
_symmetry_space_group_name_H-M 'P 1'
_symmetry_Int_Tables_number 1
loop_
_symmetry_equiv_pos_as_xyz
'x,y,z'
loop_
_atom_site_label
_atom_site_type_symbol
_atom_site_fract_x
_atom_site_fract_y
_atom_site_fract_z
_atom_site_occupancy
Al1 Al 0.000 0.409 0.250 1
Al2 Al 0.000 0.591 0.750 1
Al3 Al 0.409 0.000 0.250 1
Al4 Al 0.409 0.409 0.750 1
Al5 Al 0.591 0.000 0.750 1
Al6 Al 0.591 0.591 0.250 1
Hg1 Hg 0.000 0.226 0.750 1
Hg2 Hg 0.000 0.774 0.250 1
Hg3 Hg 0.226 0.000 0.750 1
Hg4 Hg 0.226 0.226 0.250 1
Hg5 Hg 0.333 0.667 0.000 1
Hg6 Hg 0.333 0.667 0.500 1
Hg7 Hg 0.667 0.333 0.000 1
Hg8 Hg 0.667 0.333 0.500 1
Hg9 Hg 0.774 0.000 0.250 1
Hg10 Hg 0.774 0.774 0.750 1

---

(2)
# Al3Hg PBE optimized geometry
# energy above the lowest structure with this stoichiometry: 5.5 kJ/mol of atoms
# VASP energy: -2.7205 eV per atom
# ΔE_f: 162 meV/atom
data_Al3Hg
_chemical_formula_sum 'Al3 Hg1'
_cell_length_a 2.890
_cell_length_b 5.140
_cell_length_c 5.406
_cell_angle_alpha 90.00
_cell_angle_beta 103.92
_cell_angle_gamma 90.00
_symmetry_space_group_name_H-M 'P 1'
_symmetry_Int_Tables_number 1
loop_
_symmetry_equiv_pos_as_xyz
'x,y,z'
loop_
_atom_site_label
_atom_site_type_symbol
_atom_site_fract_x
_atom_site_fract_y
_atom_site_fract_z
_atom_site_occupancy
Al1 Al 0.000 0.000 0.000 1
Al2 Al 0.355 0.500 0.223 1
Al3 Al 0.645 0.500 0.777 1
Hg1 Hg 0.500 0.000 0.500 1

---

(3)
# AlHg3 PBE optimized geometry
# VASP energy: -0.9968 eV per atom
# ΔE_f: 165 meV/atom
data_AlHg3
_chemical_formula_sum 'Al2 Hg6'
_cell_length_a 5.978
_cell_length_b 5.978
_cell_length_c 5.736
_cell_angle_alpha 90.00
_cell_angle_beta 90.00
_cell_angle_gamma 110.81
_symmetry_space_group_name_H-M 'P 1'
_symmetry_Int_Tables_number 1
loop_
_symmetry_equiv_pos_as_xyz
'x,y,z'
loop_
_atom_site_label
_atom_site_type_symbol
_atom_site_fract_x
_atom_site_fract_y
_atom_site_fract_z
_atom_site_occupancy
Al1 Al 0.051 0.949 0.750 1
Al2 Al 0.949 0.051 0.250 1
Hg1 Hg 0.073 0.442 0.750 1
Hg2 Hg 0.429 0.571 0.250 1
Hg3 Hg 0.442 0.073 0.250 1
Hg4 Hg 0.558 0.927 0.750 1
Hg5 Hg 0.571 0.429 0.750 1
Hg6 Hg 0.927 0.558 0.250 1

---

(4)
# Al4Hg PBE optimized geometry
# energy above the lowest structure with this stoichiometry: 63.7 kJ/mol of atoms
# VASP energy: -2.2576 eV per atom
# ΔE_f: 797 meV/atom
data_Al4Hg
_chemical_formula_sum 'Al4 Hg1'
_cell_length_a 5.057
_cell_length_b 5.057
_cell_length_c 5.057
_cell_angle_alpha 90.00
_cell_angle_beta 90.00
_cell_angle_gamma 90.00
_symmetry_space_group_name_H-M 'P 1'
_symmetry_Int_Tables_number 1
loop_
_symmetry_equiv_pos_as_xyz
'x,y,z'
loop_
_atom_site_label
_atom_site_type_symbol
_atom_site_fract_x
_atom_site_fract_y
_atom_site_fract_z
_atom_site_occupancy
Al1 Al 0.000 0.000 0.000 1
Al2 Al 0.000 0.500 0.500 1
Al3 Al 0.500 0.000 0.500 1
Al4 Al 0.500 0.500 0.000 1
Hg1 Hg 0.500 0.500 0.500 1

---

(5)
# AlHg2 PBE optimized geometry
# VASP energy: -1.3466 eV per atom
# ΔE_f: 102 meV/atom
data_AlHg2
_chemical_formula_sum 'Al2 Hg4'
_cell_length_a 5.677
_cell_length_b 5.677
_cell_length_c 5.677
_cell_angle_alpha 103.72
_cell_angle_beta 103.72
_cell_angle_gamma 121.71
_symmetry_space_group_name_H-M 'P 1'
_symmetry_Int_Tables_number 1
loop_
_symmetry_equiv_pos_as_xyz
'x,y,z'
loop_
_atom_site_label
_atom_site_type_symbol
_atom_site_fract_x
_atom_site_fract_y
_atom_site_fract_z
_atom_site_occupancy
Al1 Al 0.250 0.250 0.000 1
Al2 Al 0.750 0.750 0.000 1
Hg1 Hg 0.158 0.658 0.815 1
Hg2 Hg 0.342 0.158 0.500 1
Hg3 Hg 0.658 0.842 0.500 1
Hg4 Hg 0.842 0.342 0.185 1

---

(6)
# AlHg3 PBE optimized geometry
# VASP energy: -1.0450 eV per atom
# ΔE_f: 117 meV/atom
data_AlHg3
_chemical_formula_sum 'Al1 Hg3'
_cell_length_a 6.741
_cell_length_b 6.741
_cell_length_c 6.741
_cell_angle_alpha 152.08
_cell_angle_beta 51.62
_cell_angle_gamma 137.51
_symmetry_space_group_name_H-M 'P 1'
_symmetry_Int_Tables_number 1
loop_
_symmetry_equiv_pos_as_xyz
'x,y,z'
loop_
_atom_site_label
_atom_site_type_symbol
_atom_site_fract_x
_atom_site_fract_y
_atom_site_fract_z
_atom_site_occupancy
Al1 Al 0.000 0.000 0.000 1
Hg1 Hg 0.202 0.501 0.700 1
Hg2 Hg 0.500 0.000 0.500 1
Hg3 Hg 0.801 0.501 0.300 1

---

(7)
# AlHg3 PBE optimized geometry
# VASP energy: -1.0712 eV per atom
# ΔE_f: 91 meV/atom
data_AlHg3
_chemical_formula_sum 'Al4 Hg12'
_cell_length_a 6.867
_cell_length_b 8.626
_cell_length_c 6.573
_cell_angle_alpha 90.00
_cell_angle_beta 90.00
_cell_angle_gamma 90.00
_symmetry_space_group_name_H-M 'P 1'
_symmetry_Int_Tables_number 1
loop_
_symmetry_equiv_pos_as_xyz
'x,y,z'
loop_
_atom_site_label
_atom_site_type_symbol
_atom_site_fract_x
_atom_site_fract_y
_atom_site_fract_z
_atom_site_occupancy
Al1 Al 0.137 0.250 0.060 1
Al2 Al 0.363 0.750 0.560 1
Al3 Al 0.637 0.250 0.440 1
Al4 Al 0.863 0.750 0.940 1
Hg1 Hg 0.006 0.750 0.353 1
Hg2 Hg 0.200 0.551 0.855 1
Hg3 Hg 0.200 0.949 0.855 1
Hg4 Hg 0.300 0.051 0.355 1
Hg5 Hg 0.300 0.449 0.355 1
Hg6 Hg 0.494 0.250 0.853 1
Hg7 Hg 0.506 0.750 0.147 1
Hg8 Hg 0.700 0.551 0.645 1
Hg9 Hg 0.700 0.949 0.645 1
Hg10 Hg 0.800 0.051 0.145 1
Hg11 Hg 0.800 0.449 0.145 1
Hg12 Hg 0.994 0.250 0.647 1

---

(8)
# AlHg2 PBE optimized geometry
# VASP energy: -1.2873 eV per atom
# ΔE_f: 161 meV/atom
data_AlHg2
_chemical_formula_sum 'Al2 Hg4'
_cell_length_a 3.490
_cell_length_b 3.490
_cell_length_c 12.888
_cell_angle_alpha 90.00
_cell_angle_beta 90.00
_cell_angle_gamma 120.00
_symmetry_space_group_name_H-M 'P 1'
_symmetry_Int_Tables_number 1
loop_
_symmetry_equiv_pos_as_xyz
'x,y,z'
loop_
_atom_site_label
_atom_site_type_symbol
_atom_site_fract_x
_atom_site_fract_y
_atom_site_fract_z
_atom_site_occupancy
Al1 Al 0.000 0.000 0.250 1
Al2 Al 0.000 0.000 0.750 1
Hg1 Hg 0.333 0.667 0.091 1
Hg2 Hg 0.333 0.667 0.409 1
Hg3 Hg 0.667 0.333 0.591 1
Hg4 Hg 0.667 0.333 0.909 1

---

(9)
# Al3Hg PBE optimized geometry
# energy above the lowest structure with this stoichiometry: 5.8 kJ/mol of atoms
# VASP energy: -2.7176 eV per atom
# ΔE_f: 165 meV/atom
data_Al3Hg
_chemical_formula_sum 'Al3 Hg1'
_cell_length_a 5.150
_cell_length_b 5.150
_cell_length_c 5.150
_cell_angle_alpha 131.63
_cell_angle_beta 131.63
_cell_angle_gamma 70.82
_symmetry_space_group_name_H-M 'P 1'
_symmetry_Int_Tables_number 1
loop_
_symmetry_equiv_pos_as_xyz
'x,y,z'
loop_
_atom_site_label
_atom_site_type_symbol
_atom_site_fract_x
_atom_site_fract_y
_atom_site_fract_z
_atom_site_occupancy
Al1 Al 0.000 0.000 0.000 1
Al2 Al 0.250 0.750 0.500 1
Al3 Al 0.750 0.250 0.500 1
Hg1 Hg 0.500 0.500 0.000 1

---

(10)
# AlHg2 PBE optimized geometry
# VASP energy: -1.2684 eV per atom
# ΔE_f: 180 meV/atom
data_AlHg2
_chemical_formula_sum 'Al2 Hg4'
_cell_length_a 4.958
_cell_length_b 4.958
_cell_length_c 6.494
_cell_angle_alpha 90.00
_cell_angle_beta 90.00
_cell_angle_gamma 120.00
_symmetry_space_group_name_H-M 'P 1'
_symmetry_Int_Tables_number 1
loop_
_symmetry_equiv_pos_as_xyz
'x,y,z'
loop_
_atom_site_label
_atom_site_type_symbol
_atom_site_fract_x
_atom_site_fract_y
_atom_site_fract_z
_atom_site_occupancy
Al1 Al 0.333 0.667 0.250 1
Al2 Al 0.667 0.333 0.750 1
Hg1 Hg 0.000 0.000 0.000 1
Hg2 Hg 0.000 0.000 0.500 1
Hg3 Hg 0.333 0.667 0.750 1
Hg4 Hg 0.667 0.333 0.250 1

---

(11)
# AlHg2 PBE optimized geometry
# VASP energy: -1.3423 eV per atom
# ΔE_f: 106 meV/atom
data_AlHg2
_chemical_formula_sum 'Al1 Hg2'
_cell_length_a 4.663
_cell_length_b 4.663
_cell_length_c 4.663
_cell_angle_alpha 60.00
_cell_angle_beta 60.00
_cell_angle_gamma 60.00
_symmetry_space_group_name_H-M 'P 1'
_symmetry_Int_Tables_number 1
loop_
_symmetry_equiv_pos_as_xyz
'x,y,z'
loop_
_atom_site_label
_atom_site_type_symbol
_atom_site_fract_x
_atom_site_fract_y
_atom_site_fract_z
_atom_site_occupancy
Al1 Al 0.000 0.000 0.000 1
Hg1 Hg 0.250 0.250 0.250 1
Hg2 Hg 0.750 0.750 0.750 1

---

(12)
# Al3Hg PBE optimized geometry
# energy above the lowest structure with this stoichiometry: 0.0 kJ/mol of atoms
# VASP energy: -2.7775 eV per atom
# ΔE_f: 105 meV/atom
data_Al3Hg
_chemical_formula_sum 'Al3 Hg1'
_cell_length_a 10.039
_cell_length_b 10.039
_cell_length_c 10.039
_cell_angle_alpha 17.00
_cell_angle_beta 17.00
_cell_angle_gamma 17.00
_symmetry_space_group_name_H-M 'P 1'
_symmetry_Int_Tables_number 1
loop_
_symmetry_equiv_pos_as_xyz
'x,y,z'
loop_
_atom_site_label
_atom_site_type_symbol
_atom_site_fract_x
_atom_site_fract_y
_atom_site_fract_z
_atom_site_occupancy
Al1 Al 0.000 0.000 0.000 1
Al2 Al 0.257 0.257 0.257 1
Al3 Al 0.743 0.743 0.743 1
Hg1 Hg 0.500 0.500 0.500 1